## Li2Sb (SCAN)

Data for a crystal of Li2Sb relaxed with PBEsol.

The structure in extended XYZ format:
```
3
Lattice="-1.5818 2.1543 4.1379 1.5818 -2.1543 4.1379 1.5818 2.1543 -4.1379" Properties=species:S:1:pos:R:3 pbc="T T T"
Li 0.0000 0.0000 1.3321
Li 0.0000 0.0000 6.9437
Sb 0.0000 0.0000 4.1379
```

Computed properties:
- D(E_F) (states/eV/f.u.) = 0.56
- total moment (μB per atom) = 0.0000
- E above lowest polymorph (eV per atom) = 0.024
- calculated volume (A^3/atom) = 18.8